TbTh3Tl4: optimized geometry, PBE-GGA.

**E above lowest polymorph**: 0.0802 eV/atom
**Total moment**: 0.00 μB per cell
**Calculated formation energy**: -11 kJ/mol of atoms
**Crystal system**: orthorhombic
**Energy**: -4.66 eV per atom

a = 9.8453 Å, b = 6.9237 Å, c = 6.8294 Å
α = 90.00°, β = 90.00°, γ = 90.00°
Space group Pmn2_1 (No. 31)
Asymmetric unit:
1 Tb 0.0000 0.0000 0.0000 (multiplicity 2)
2 Th 0.0000 0.5000 0.0005 (multiplicity 2)
3 Th 0.2500 0.2654 0.2501 (multiplicity 4)
4 Tl 0.0000 0.9995 0.4999 (multiplicity 2)
5 Tl 0.0000 0.4994 0.5005 (multiplicity 2)
6 Tl 0.2499 0.2374 0.7501 (multiplicity 4)


Nd3DyTh4Se8: optimized geometry, PBE-GGA.

**ΔE_f (raw)**: -38.53 kcal/mol of atoms
**Total moment**: 0.00 μB per cell
**Crystal system**: trigonal
**Energy**: -6.45 eV per atom

a = 8.2847 Å, b = 8.2847 Å, c = 21.0848 Å
α = 90.00°, β = 90.00°, γ = 120.00°
Space group R-3m (No. 166, hexagonal axes)
Asymmetric unit:
1 Nd 0.0000 0.5000 0.0000 (multiplicity 9)
2 Dy 0.0000 0.0000 0.0000 (multiplicity 3)
3 Th 0.0000 0.0000 0.5000 (multiplicity 3)
4 Th 0.0000 0.5000 0.5000 (multiplicity 9)
5 Se 0.0000 0.0000 0.2507 (multiplicity 6)
6 Se 0.0060 0.5030 0.7479 (multiplicity 18)